No. 1
DFT (PBE) results for a relaxed CoNi6Sb crystal.

The energy above the most stable polymorph in this dataset comes out at 0.0000 eV/atom. The calculation puts the energy relative to the elements, uncorrected at -0.035 eV/atom. For the magnetic moment, the calculation gives 4.095 μB per formula unit.

abc: 3.6454 3.6454 7.2101
angles: 90.00 90.00 90.00
Last column: nearest neighbours and their distance in Å.
Atoms (fractional coordinates):
Ni  0.5000  0.0000  0.7331  2 Co 2.48, 8 Ni 2.48-2.65, 2 Sb 2.65
Ni  0.0000  0.5000  0.2669  2 Co 2.48, 8 Ni 2.48-2.65, 2 Sb 2.65
Sb  0.0000  0.0000  0.0000  12 Ni 2.58-2.65
Co  0.0000  0.0000  0.5000  12 Ni 2.48-2.58
Ni  0.5000  0.5000  0.0000  4 Sb 2.58, 8 Ni 2.65
Ni  0.0000  0.5000  0.7331  2 Co 2.48, 8 Ni 2.48-2.65, 2 Sb 2.65
Ni  0.5000  0.5000  0.5000  8 Ni 2.48, 4 Co 2.58
Ni  0.5000  0.0000  0.2669  2 Co 2.48, 8 Ni 2.48-2.65, 2 Sb 2.65



No. 2
DFT (PBE) results for a relaxed Na2ErMgPb2 crystal.

The calculation puts the energy of formation from the pure elements at -0.25 eV per atom. For the magnetic moment, the calculation gives 0.000 μB per formula unit.

abc: 4.9365 7.2949 9.3443
angles: 90.00 90.00 90.00
Last column: nearest neighbours and their distance in Å.
Atoms (fractional coordinates):
Mg  0.5000  0.1698  0.6876  4 Pb 2.88-3.07
Er  0.0000  0.4911  0.5283  5 Pb 3.20-3.31, 2 Mg 3.44
Pb  0.0000  0.2727  0.8255  2 Mg 2.88, 1 Na 3.19, 1 Er 3.20
Pb  0.0000  0.7727  0.1745  2 Mg 2.88, 1 Na 3.19, 1 Er 3.20
Mg  0.5000  0.6698  0.3124  4 Pb 2.88-3.07
Na  0.0000  0.8205  0.8353  4 Pb 3.19-3.30, 4 Na 3.39-3.57
Er  0.0000  0.9911  0.4717  5 Pb 3.20-3.31, 2 Mg 3.44
Na  0.0000  0.3205  0.1647  4 Pb 3.19-3.30, 4 Na 3.39-3.57
Na  0.5000  0.5336  0.9449  5 Pb 3.31-3.71, 4 Na 3.39-3.57, 2 Mg 3.58
Na  0.5000  0.0336  0.0551  5 Pb 3.31-3.71, 4 Na 3.39-3.57, 2 Mg 3.58
Pb  0.5000  0.2578  0.3791  2 Mg 2.95-3.07, 2 Na 3.21, 4 Er 3.26-3.31
Pb  0.5000  0.7578  0.6209  2 Mg 2.95-3.07, 2 Na 3.21, 4 Er 3.26-3.31



No. 3
DFT (PBE) results for a relaxed LiB2AuI crystal.

The calculation puts the energy relative to the elements, uncorrected at 1.783 eV/atom. For the magnetic moment, the calculation gives 0.000 μB per formula unit.

abc: 4.6524 4.9413 4.6524
angles: 90.00 90.00 90.00
Last column: nearest neighbours and their distance in Å.
Atoms (fractional coordinates):
Au  0.5000  0.5000  0.5000  4 Li 3.29, 8 B 3.39
I  0.0000  0.0000  0.0000  4 B 2.33, 2 Li 2.47
B  0.0000  0.0000  0.5000  2 I 2.33
B  0.5000  0.0000  0.0000  2 I 2.33
Li  0.0000  0.5000  0.0000  2 I 2.47



No. 4
DFT (PBE) results for a relaxed PmErMnGa crystal.

The calculation puts the energy of formation from the pure elements at -0.14 eV per atom. For the magnetic moment, the calculation gives 3.296 μB per formula unit.

abc: 5.0839 5.0839 5.0839
angles: 60.00 60.00 60.00
Last column: nearest neighbours and their distance in Å.
Atoms (fractional coordinates):
Er  0.2500  0.2500  0.2500  4 Mn 3.11, 4 Ga 3.11
Ga  0.0000  0.0000  0.0000  4 Er 3.11, 4 Pm 3.11
Pm  0.7500  0.7500  0.7500  4 Mn 3.11, 4 Ga 3.11
Mn  0.5000  0.5000  0.5000  4 Er 3.11, 4 Pm 3.11



No. 5
DFT (PBE) results for a relaxed Ta2CuRh crystal.

The calculation puts the energy of formation from the pure elements at -0.22 eV per atom. For the magnetic moment, the calculation gives 0.000 μB per formula unit.

abc: 3.2041 3.2739 6.0184
angles: 90.00 90.00 90.00
Last column: nearest neighbours and their distance in Å.
Atoms (fractional coordinates):
Cu  0.0000  0.0000  0.5040  5 Ta 2.67-2.86, 4 Rh 2.70
Ta  0.0000  0.0000  0.9788  4 Rh 2.70, 1 Cu 2.86, 4 Ta 2.90
Rh  0.5000  0.5000  0.7421  5 Ta 2.70-2.81, 4 Cu 2.70
Ta  0.5000  0.5000  0.2751  4 Cu 2.67, 1 Rh 2.81, 4 Ta 2.90



No. 6
DFT (PBE) results for a relaxed ScBeTl crystal.

The energy above the most stable polymorph in this dataset comes out at 0.0845 eV/atom. The calculation puts the energy of formation from the pure elements at 0.00 eV per atom. For the magnetic moment, the calculation gives 0.000 μB per formula unit.

abc: 3.7806 6.0819 5.2537
angles: 97.98 89.99 108.07
Last column: nearest neighbours and their distance in Å.
Atoms (fractional coordinates):
Sc  0.2105  0.7075  0.1748  4 Be 2.69-2.85
Be  0.8335  0.9547  0.9671  2 Be 2.35, 3 Tl 2.54-2.55
Tl  0.6536  0.5927  0.6301  3 Be 2.54-2.55
Be  0.3027  0.8919  0.7011  2 Be 2.35, 3 Tl 2.53-2.55
Tl  0.4830  0.2537  0.0378  3 Be 2.53-2.55
Sc  0.9259  0.1390  0.4933  4 Be 2.69-2.85